First-principles (PBE) data for crystalline Pm4HgIr3 at its relaxed geometry, as listed in Alexandria.

abc: 8.8188 8.8188 8.8188
angles: 33.41 33.41 33.41
Last column: nearest neighbours and their distance in Å.
Fractional positions:
Pm: 0.1193 0.1193 0.1193  5 Ir 2.98-3.24, 3 Hg 3.16
Pm: 0.3706 0.3706 0.3706  7 Ir 3.04-3.15, 1 Hg 3.23
Pm: 0.6294 0.6294 0.6294  7 Ir 3.04-3.15, 1 Hg 3.23
Pm: 0.8807 0.8807 0.8807  5 Ir 2.98-3.24, 3 Hg 3.16
Hg: 0.5000 0.5000 0.5000  8 Pm 3.16-3.23
Ir: 0.0000 0.0000 0.0000  8 Pm 2.98-3.07
Ir: 0.2490 0.2490 0.2490  8 Pm 3.04-3.24
Ir: 0.7510 0.7510 0.7510  8 Pm 3.04-3.24

Space-group type   R-3m, No. 166
Calculated formation energy   -0.580 eV/atom
E   -50.53 eV per cell
Crystal system   trigonal

***

First-principles (PBE) data for crystalline AuS2N2 at its relaxed geometry, as listed in Alexandria.

abc: 3.4391 3.4391 6.8619
angles: 90.00 90.00 90.00
Last column: nearest neighbours and their distance in Å.
Fractional positions:
Au: 0.0000 0.0000 0.0000  4 S 2.43
S: 0.5000 0.5000 0.0000  4 Au 2.43
S: 0.5000 0.5000 0.5000  4 N 1.72
N: 0.0000 0.5000 0.5000  2 S 1.72
N: 0.5000 0.0000 0.5000  2 S 1.72

Space-group type   P4/mmm, No. 123
Energy relative to the lowest polymorph listed for this composition   18.507 kcal/mol of atoms
E   -21.18 eV per cell
Crystal system   tetragonal
Energy relative to the elements, uncorrected   1.401 eV per atom

***

First-principles (PBE) data for crystalline Ba3ZnCd2 at its relaxed geometry, as listed in Alexandria.

abc: 9.4448 9.4448 4.1858
angles: 90.00 90.00 143.07
Last column: nearest neighbours and their distance in Å.
Fractional positions:
Ba: 0.0000 0.0000 0.0000  4 Zn 3.65, 4 Cd 3.70
Ba: 0.3384 0.6616 0.0000  2 Zn 3.57, 6 Cd 3.65-3.67
Ba: 0.6616 0.3384 0.0000  2 Zn 3.57, 6 Cd 3.65-3.67
Zn: 0.5000 0.5000 0.5000  8 Ba 3.57-3.65
Cd: 0.1703 0.8297 0.5000  8 Ba 3.65-3.70
Cd: 0.8297 0.1703 0.5000  8 Ba 3.65-3.70

Space-group type   Cmmm, No. 65
Calculated formation energy   -0.265 eV/atom
E   -10.46 eV per cell
Crystal system   orthorhombic

***

First-principles (PBE) data for crystalline TaBi2Mo at its relaxed geometry, as listed in Alexandria.

abc: 7.9240 7.9240 7.9240
angles: 131.26 131.26 71.41
Last column: nearest neighbours and their distance in Å.
Fractional positions:
Ta: 0.0000 0.0000 0.0000  4 Bi 2.81
Ta: 0.7500 0.2500 0.5000  4 Bi 2.81
Bi: 0.1234 0.6250 0.9984  2 Ta 2.81, 2 Mo 2.82
Bi: 0.3750 0.3734 0.4984  2 Ta 2.81, 2 Mo 2.82
Bi: 0.6266 0.1250 0.0016  2 Ta 2.81, 2 Mo 2.82
Bi: 0.8750 0.8766 0.5016  2 Ta 2.81, 2 Mo 2.82
Mo: 0.2500 0.7500 0.5000  4 Bi 2.82
Mo: 0.5000 0.5000 0.0000  4 Bi 2.82

Space-group type   I-42d, No. 122
Calculated formation energy   1.497 eV/atom
Energy relative to the lowest polymorph listed for this composition   18.335 kcal/mol of atoms
E   -48.91 eV per cell
Crystal system   tetragonal

***

First-principles (PBE) data for crystalline MnTeSN2 at its relaxed geometry, as listed in Alexandria.

abc: 3.6532 3.6532 5.7021
angles: 90.00 90.00 90.00
Last column: nearest neighbours and their distance in Å.
Fractional positions:
Mn: 0.0000 0.0000 0.0000  4 N 1.83
Te: 0.0000 0.0000 0.5000  4 S 2.58, 2 Mn 2.85
S: 0.5000 0.5000 0.5000  4 Te 2.58
N: 0.0000 0.5000 0.0000  2 Mn 1.83
N: 0.5000 0.0000 0.0000  2 Mn 1.83

Space-group type   P4/mmm, No. 123
Energy relative to the lowest polymorph listed for this composition   0.000 kcal/mol of atoms
E   -29.72 eV per cell
Crystal system   tetragonal
Energy relative to the elements, uncorrected   0.674 eV per atom

***

First-principles (PBE) data for crystalline Tl2GaHgI3 at its relaxed geometry, as listed in Alexandria.

abc: 10.0579 10.0579 10.0579
angles: 149.85 145.40 46.54
Last column: nearest neighbours and their distance in Å.
Fractional positions:
Tl: 0.1495 0.1495 0.0000  1 I 3.31
Tl: 0.8505 0.8505 0.0000  1 I 3.31
Ga: 0.5000 0.5000 0.0000  2 Hg 2.62
Hg: 0.5000 0.0000 0.5000  2 Ga 2.62
I: 0.0000 0.5000 0.5000  2 Ga 2.99
I: 0.3287 0.3287 0.0000  1 Ga 3.17, 1 Tl 3.31
I: 0.6713 0.6713 0.0000  1 Ga 3.17, 1 Tl 3.31

Space-group type   Immm, No. 71
E   -15.57 eV per cell
Crystal system   orthorhombic
Energy relative to the elements, uncorrected   -0.409 eV per atom

***

What did the third record say?
First-principles (PBE) data for crystalline Ba3ZnCd2 at its relaxed geometry, as listed in Alexandria.

abc: 9.4448 9.4448 4.1858
angles: 90.00 90.00 143.07
Last column: nearest neighbours and their distance in Å.
Fractional positions:
Ba: 0.0000 0.0000 0.0000  4 Zn 3.65, 4 Cd 3.70
Ba: 0.3384 0.6616 0.0000  2 Zn 3.57, 6 Cd 3.65-3.67
Ba: 0.6616 0.3384 0.0000  2 Zn 3.57, 6 Cd 3.65-3.67
Zn: 0.5000 0.5000 0.5000  8 Ba 3.57-3.65
Cd: 0.1703 0.8297 0.5000  8 Ba 3.65-3.70
Cd: 0.8297 0.1703 0.5000  8 Ba 3.65-3.70

Space-group type   Cmmm, No. 65
Calculated formation energy   -0.265 eV/atom
E   -10.46 eV per cell
Crystal system   orthorhombic

***

Q: Among the records above, which one has the lowest E?
A: Pm4HgIr3